Model A:
Computed, not measured: PrTeN after structural relaxation at the PBE-GGA level of DFT.

Results
size of the total moment = 0.00 μB/cell
V = 29.658 A^3/atom

a b c (Å): 6.485 6.364 9.212
angles (deg): 90.00 110.59 90.00
Space group C2/m (No. 12)
Symmetry-distinct sites (fractional):
Pr: 0.138 0.000 0.276 [4 per cell]
Te: 0.166 0.500 0.333 [4 per cell]
N: 0.095 0.000 0.000 [4 per cell]

Model B:
Computed, not measured: PrTeN after structural relaxation at the PBE-GGA level of DFT.

Results
size of the total moment = 2.32 μB/cell
V = 25.697 A^3/atom

a b c (Å): 7.484 10.463 7.876
angles (deg): 90.00 90.00 90.00
Space group Cmce (No. 64)
Symmetry-distinct sites (fractional):
Pr: 0.250 0.105 0.250 [8 per cell]
Te: 0.000 0.156 0.598 [8 per cell]
N: 0.000 0.034 0.062 [8 per cell]

The relative energies come out as model A 0; model B 54, with values in meV/atom.